#one
! CdPPt GGA-PBE optimized geometry; values from VASP
&SYSTEM
  ibrav = 0, nat = 3, ntyp = 3
/
ATOMIC_SPECIES
P 30.97 P.upf
Pt 195.08 Pt.upf
Cd 112.41 Cd.upf
CELL_PARAMETERS angstrom
3.3996 0.0000 0.0000
-1.6998 2.9441 0.0000
0.0000 0.0000 6.0034
ATOMIC_POSITIONS crystal
P 0.6667 0.3333 0.4771
Pt 0.0000 0.0000 0.6820
Cd 0.6667 0.3333 0.0433
! DOS at the Fermi energy in states/eV/atom: 0.3825
! Crystal system: trigonal


#two
! CdPPt GGA-PBE optimized geometry; values from VASP
&SYSTEM
  ibrav = 0, nat = 3, ntyp = 3
/
ATOMIC_SPECIES
P 30.97 P.upf
Cd 112.41 Cd.upf
Pt 195.08 Pt.upf
CELL_PARAMETERS angstrom
-1.9495 -1.0533 2.6331
2.2522 -1.2873 3.3709
-1.1677 3.6938 2.8301
ATOMIC_POSITIONS crystal
P 0.8182 0.9864 0.5479
Cd 0.9387 0.2645 0.0280
Pt 0.4701 0.5994 0.6266
! DOS at the Fermi energy in states/eV/atom: 0.1736
! Crystal system: triclinic


#three
! CdPPt GGA-PBE optimized geometry; values from VASP
&SYSTEM
  ibrav = 0, nat = 3, ntyp = 3
/
ATOMIC_SPECIES
P 30.97 P.upf
Cd 112.41 Cd.upf
Pt 195.08 Pt.upf
CELL_PARAMETERS angstrom
-3.8104 -1.1265 1.7793
-0.3718 -3.7721 2.1417
-0.4631 -0.0089 4.3289
ATOMIC_POSITIONS crystal
P 0.5000 0.5000 0.5000
Cd 0.0000 0.0000 0.0000
Pt 0.7500 0.7500 0.7500
! DOS at the Fermi energy in states/eV/atom: 0.6445
! Crystal system: cubic


Stability summary - winner: #two; margin: 54 meV/atom.


#one
! CdP2Pt2 GGA-PBE optimized geometry; values from VASP
&SYSTEM
  ibrav = 0, nat = 5, ntyp = 3
/
ATOMIC_SPECIES
Cd 112.41 Cd.upf
P 30.97 P.upf
Pt 195.08 Pt.upf
CELL_PARAMETERS angstrom
-3.8526 2.2843 -0.0338
-1.2424 -2.1506 -3.7273
-4.3643 -2.9624 0.4728
ATOMIC_POSITIONS crystal
Cd 0.0000 0.0000 0.0000
P 0.3690 0.3690 0.2620
P 0.6310 0.6310 0.7380
Pt 0.7500 0.2500 0.5000
Pt 0.2500 0.7500 0.5000
! DOS at the Fermi energy in states/eV/atom: 0.3496
! Crystal system: tetragonal


#two
! CdP2Pt2 GGA-PBE optimized geometry; values from VASP
&SYSTEM
  ibrav = 0, nat = 5, ntyp = 3
/
ATOMIC_SPECIES
Pt 195.08 Pt.upf
Cd 112.41 Cd.upf
P 30.97 P.upf
CELL_PARAMETERS angstrom
4.2216 0.0000 0.0000
0.0000 4.2216 0.0000
2.1108 2.1108 5.1615
ATOMIC_POSITIONS crystal
Pt 0.6346 0.6346 0.7307
Pt 0.3654 0.3654 0.2693
Cd 0.0000 0.0000 0.0000
P 0.2500 0.7500 0.5000
P 0.7500 0.2500 0.5000
! DOS at the Fermi energy in states/eV/atom: 0.5133
! Crystal system: tetragonal


Stability summary - winner: #one; margin: 126 meV/atom.


#one
! CdPPtS2 GGA-PBE optimized geometry; values from VASP
&SYSTEM
  ibrav = 0, nat = 5, ntyp = 4
/
ATOMIC_SPECIES
Cd 112.41 Cd.upf
S 32.06 S.upf
P 30.97 P.upf
Pt 195.08 Pt.upf
CELL_PARAMETERS angstrom
4.8704 0.0000 0.0000
0.0000 4.8704 0.0000
0.0000 0.0000 4.9185
ATOMIC_POSITIONS crystal
Cd 0.0000 0.0000 0.0000
S 0.0000 0.5000 0.0000
S 0.5000 0.0000 0.0000
P 0.0000 0.0000 0.5000
Pt 0.5000 0.5000 0.5000
! DOS at the Fermi energy in states/eV/atom: 1.4167
! Crystal system: tetragonal


#two
! CdPPtS2 GGA-PBE optimized geometry; values from VASP
&SYSTEM
  ibrav = 0, nat = 5, ntyp = 4
/
ATOMIC_SPECIES
Cd 112.41 Cd.upf
S 32.06 S.upf
P 30.97 P.upf
Pt 195.08 Pt.upf
CELL_PARAMETERS angstrom
5.0565 0.0000 0.0000
0.0000 5.0565 0.0000
0.0000 0.0000 4.3570
ATOMIC_POSITIONS crystal
Cd 0.5000 0.5000 0.5000
S 0.5000 0.0000 0.0000
S 0.0000 0.5000 0.0000
P 0.0000 0.0000 0.5000
Pt 0.0000 0.0000 0.0000
! DOS at the Fermi energy in states/eV/atom: 0.6186
! Crystal system: tetragonal


Stability summary - winner: #two; margin: 992 meV/atom.


#one
! Rb2Cd2P GGA-PBE optimized geometry; values from VASP
&SYSTEM
  ibrav = 0, nat = 5, ntyp = 3
/
ATOMIC_SPECIES
Rb 85.47 Rb.upf
Cd 112.41 Cd.upf
P 30.97 P.upf
CELL_PARAMETERS angstrom
4.0884 0.0000 0.0000
0.0000 4.0884 0.0000
2.0442 2.0442 11.2579
ATOMIC_POSITIONS crystal
Rb 0.4121 0.4121 0.1758
Rb 0.5879 0.5879 0.8242
Cd 0.7500 0.2500 0.5000
Cd 0.2500 0.7500 0.5000
P 0.0000 0.0000 0.0000
! DOS at the Fermi energy in states/eV/atom: 0.7174
! Crystal system: tetragonal


#two
! Rb2Cd2P GGA-PBE optimized geometry; values from VASP
&SYSTEM
  ibrav = 0, nat = 5, ntyp = 3
/
ATOMIC_SPECIES
Rb 85.47 Rb.upf
Cd 112.41 Cd.upf
P 30.97 P.upf
CELL_PARAMETERS angstrom
7.1376 0.0000 0.0000
0.0000 7.1376 0.0000
3.5688 3.5688 3.9861
ATOMIC_POSITIONS crystal
Rb 0.7500 0.2500 0.5000
Rb 0.2500 0.7500 0.5000
Cd 0.6807 0.6807 0.6386
Cd 0.3193 0.3193 0.3614
P 0.0000 0.0000 0.0000
! DOS at the Fermi energy in states/eV/atom: 0.3080
! Crystal system: tetragonal


Stability summary - winner: #two; margin: 71 meV/atom.